# GGA+U VHgSe2O8, optimized geometry
# Fermi-level density of states ... 5.92 states/eV/f.u.
# Final energy ... -5.313 eV per atom
# Total magnetic moment ... 0.898 μB/cell
data_VHgSe2O8
_chemical_formula_sum 'V2 Hg2 Se4 O16'
_cell_length_a 12.4683
_cell_length_b 5.3582
_cell_length_c 5.4227
_cell_angle_alpha 90.00
_cell_angle_beta 113.06
_cell_angle_gamma 90.00
_space_group_name_H-M_alt 'C 1 2/m 1'
_space_group_IT_number 12
loop_
_space_group_symop_operation_xyz
'x,y,z'
'-x,-y,-z'
'-x,y,-z'
'x,-y,z'
'x+1/2,y+1/2,z'
'-x+1/2,-y+1/2,-z'
'-x+1/2,y+1/2,-z'
'x+1/2,-y+1/2,z'
loop_
_atom_site_label
_atom_site_fract_x
_atom_site_fract_y
_atom_site_fract_z
V1 0.0000 0.0000 0.0000
Hg1 0.0000 0.5000 0.5000
Se1 0.1973 0.5000 0.2091
O1 0.0484 0.0000 0.3510
O2 0.1148 0.2608 0.0029
O3 0.1686 0.5000 0.4960